(1)
The following is a meta-GGA SCAN calculation of a crystal of MgFe2Rh relaxed with PBEsol, from the Alexandria database.

The crystal system is trigonal. The value obtained for the energy of formation is 137 meV per atom.

The structure belongs to space group R-3m (No. 166, hexagonal axes); the cell edges are 2.6805, 2.6805 and 26.0045 Å and the angles 90.00°, 90.00° and 120.00°. Symmetry generates all atoms from Mg at (0.0000, 0.0000, 0.0000), Fe at (0.0000, 0.0000, 0.2463) and Rh at (0.0000, 0.0000, 0.5000).

(2)
The following is a meta-GGA SCAN calculation of a crystal of MgFeRu2 relaxed with PBEsol, from the Alexandria database.

The crystal system is orthorhombic. The value obtained for the energy of formation is 194 meV per atom.

The structure belongs to space group Pmmm (No. 47); the cell edges are 2.890, 4.244 and 4.416 Å and the angles 90.00°, 90.00° and 90.00°. Symmetry generates all atoms from Mg at (0.000, 0.000, 0.000), Fe at (0.500, 0.000, 0.500), Ru at (0.000, 0.500, 0.500) and Ru at (0.500, 0.500, 0.000).

(3)
The following is a meta-GGA SCAN calculation of a crystal of MgFe4Ru relaxed with PBEsol, from the Alexandria database.

The crystal system is cubic. The value obtained for the energy of formation is 98 meV per atom.

The structure belongs to space group F-43m (No. 216); the cell edges are 6.649, 6.649 and 6.649 Å and the angles 90.00°, 90.00° and 90.00°. Symmetry generates all atoms from Mg at (0.000, 0.000, 0.000), Fe at (0.124, 0.124, 0.624) and Ru at (0.250, 0.250, 0.250).